Compound: CrRhO2F
Source: the Alexandria database
Functional: GGA+U
Structure: optimized geometry

Cell lengths 3.9131, 3.9131, 4.2520 Å; angles 90.00, 90.00, 90.00 degrees
Last column: magnetic moment on the atom in μB.
Element x y z (fractional)
Cr (0.5000, 0.5000, 0.5000)  4.36
Rh (0.0000, 0.0000, 0.0000)  -1.12
O (0.0000, 0.5000, 0.0000)  -0.33
O (0.5000, 0.0000, 0.0000)  -0.33
F (0.0000, 0.0000, 0.5000)  0.00

Summary:
Space-group type: P4/mmm
Energy (eV per atom): -5.94
Spin magnetization (μB per atom): 0.547
D(E_F) (states/eV per atom): 0.58